A plane-wave DFT calculation with GGA-PBE was carried out for a relaxed structure of Ac4MgCo2. Values from VASP.

```
&SYSTEM
  ibrav = 0, nat = 14, ntyp = 3
/
ATOMIC_SPECIES
Ac 227.00 Ac.upf
Mg 24.30 Mg.upf
Co 58.93 Co.upf
CELL_PARAMETERS angstrom
2.145 -7.199 0.000
2.145 7.199 0.000
0.000 0.000 14.741
ATOMIC_POSITIONS angstrom
Ac 0.000 0.000 0.000
Ac 0.000 0.000 7.370
Ac 2.145 3.408 8.907
Ac 2.145 3.408 13.204
Ac 2.145 1.206 3.685
Ac 2.145 -1.206 11.055
Ac 2.145 -3.408 1.536
Ac 2.145 -3.408 5.834
Mg 2.145 5.615 3.685
Mg 2.145 -5.615 11.055
Co 2.145 1.893 0.929
Co 2.145 1.893 6.441
Co 2.145 -1.893 8.300
Co 2.145 -1.893 13.811
```

A plane-wave DFT calculation with GGA-PBE was carried out for a relaxed structure of Ac4MgCo. Values from VASP.

```
&SYSTEM
  ibrav = 0, nat = 24, ntyp = 3
/
ATOMIC_SPECIES
Ac 227.00 Ac.upf
Mg 24.30 Mg.upf
Co 58.93 Co.upf
CELL_PARAMETERS angstrom
0.000 7.429 7.429
7.429 0.000 7.429
7.429 7.429 0.000
ATOMIC_POSITIONS angstrom
Ac 7.429 7.429 2.798
Ac 7.429 2.798 7.429
Ac 12.060 7.429 7.429
Ac 5.109 5.109 5.109
Ac 9.749 9.749 5.109
Ac 9.749 5.109 9.749
Ac 11.143 11.143 8.337
Ac 11.143 8.337 11.143
Ac 13.950 11.143 11.143
Ac 2.798 7.429 7.429
Ac 7.429 12.060 7.429
Ac 7.429 7.429 12.060
Ac 8.337 11.143 11.143
Ac 11.143 13.950 11.143
Ac 11.143 11.143 13.950
Ac 5.109 9.749 9.749
Mg 8.576 6.282 6.282
Mg 6.282 8.576 6.282
Mg 6.282 6.282 8.576
Mg 8.576 8.576 8.576
Co 2.093 2.093 2.093
Co 5.336 5.336 2.093
Co 5.336 2.093 5.336
Co 2.093 5.336 5.336
```

A plane-wave DFT calculation with GGA-PBE was carried out for a relaxed structure of Ac3MgCo2. Values from VASP.

```
&SYSTEM
  ibrav = 0, nat = 12, ntyp = 3
/
ATOMIC_SPECIES
Ac 227.00 Ac.upf
Mg 24.30 Mg.upf
Co 58.93 Co.upf
CELL_PARAMETERS angstrom
8.878 -2.026 0.000
8.878 2.026 0.000
-5.548 0.000 10.029
ATOMIC_POSITIONS angstrom
Ac -0.725 0.000 3.990
Ac -3.655 0.000 9.970
Ac 4.673 0.000 2.598
Ac 7.534 0.000 7.432
Ac 15.863 0.000 0.060
Ac 12.933 0.000 6.039
Mg 1.405 0.000 7.260
Mg 10.802 0.000 2.769
Co -0.596 0.000 9.474
Co 2.094 0.000 4.691
Co 10.113 0.000 5.339
Co 12.804 0.000 0.555
```

A plane-wave DFT calculation with GGA-PBE was carried out for a relaxed structure of Ac8MgCo2. Values from VASP.

```
&SYSTEM
  ibrav = 0, nat = 11, ntyp = 3
/
ATOMIC_SPECIES
Ac 227.00 Ac.upf
Mg 24.30 Mg.upf
Co 58.93 Co.upf
CELL_PARAMETERS angstrom
4.585 -7.356 0.000
4.585 7.356 0.000
-1.436 0.000 5.945
ATOMIC_POSITIONS angstrom
Ac 0.000 0.000 0.000
Ac 1.063 0.000 3.535
Ac 3.294 1.933 1.367
Ac 4.409 3.635 4.747
Ac 3.294 -1.933 1.367
Ac 6.954 1.935 2.183
Ac 4.409 -3.635 4.747
Ac 6.954 -1.935 2.183
Mg 4.393 0.000 4.749
Co 5.124 4.161 1.773
Co 5.124 -4.161 1.773
```

Energy of formation from the pure elements across the listed records, respectively: 0.036, -0.050, 0.001, 0.088 eV per atom.